(1)
Entry from Alexandria: NaMg3 after structural relaxation (PBEsol).

Its magnetic moment is 0.0 μB per cell. Its formation energy is 0.1027 eV/atom. The uncorrected energy is -1.535 eV per atom.

Lattice parameters (Å, degrees): 5.1618 5.1618 3.6825 90.00 90.00 90.00
Positions (direct):
Na 0.0000 0.0000 0.0000
Mg 0.0000 0.5000 0.5000
Mg 0.5000 0.0000 0.5000
Mg 0.5000 0.5000 0.0000

(2)
Entry from Alexandria: TlCu2Br after structural relaxation (PBEsol).

The offset from the most stable computed form is 0.000 eV per formula unit. Its formation energy without anion corrections is 0.4196 eV per atom. Its magnetic moment is 0.0 μB per cell. The uncorrected energy is -2.872 eV per atom.

Lattice parameters (Å, degrees): 4.7937 4.7937 3.2782 90.00 90.00 102.96
Positions (direct):
Tl 0.0000 0.0000 0.0000
Cu 0.0000 0.5000 0.5000
Cu 0.5000 0.0000 0.5000
Br 0.5000 0.5000 0.0000

What is the uncorrected energy in the first record? -1.535 eV per atom